(1)
# Ca3AcTl2 (PBE, optimized geometry)
# raw total energy: -2.721 eV per atom
# ΔH_f (0 K): -0.2470 eV per atom
# calculated volume: 35.4 A^3/atom
# total magnetization: 0.000 Bohr magnetons per cell
data_Ca3AcTl2
_chemical_formula_sum 'Ca12 Ac4 Tl8'
_cell_length_a 18.3275
_cell_length_b 5.5471
_cell_length_c 9.1627
_cell_angle_alpha 90.00
_cell_angle_beta 114.32
_cell_angle_gamma 90.00
_space_group_name_H-M_alt 'C 1 2/m 1'
_space_group_IT_number 12
loop_
_space_group_symop_operation_xyz
'x,y,z'
'-x,-y,-z'
'-x,y,-z'
'x,-y,z'
'x+1/2,y+1/2,z'
'-x+1/2,-y+1/2,-z'
'-x+1/2,y+1/2,-z'
'x+1/2,-y+1/2,z'
loop_
_atom_site_label
_atom_site_type_symbol
_atom_site_fract_x
_atom_site_fract_y
_atom_site_fract_z
_atom_site_occupancy
Ca1 Ca 0.0605 0.0000 0.2206 1
Ca2 Ca 0.1335 0.5000 0.0136 1
Ca3 Ca 0.1889 0.5000 0.4646 1
Ac1 Ac 0.1290 0.0000 0.7017 1
Tl1 Tl 0.0011 0.5000 0.3354 1
Tl2 Tl 0.2239 0.0000 0.1525 1


(2)
# LiTa2Al (PBE, optimized geometry)
# raw total energy: -7.309 eV per atom
# ΔH_f (0 K): 0.0318 eV per atom
# calculated volume: 17.5 A^3/atom
# total magnetization: 0.000 Bohr magnetons per cell
data_LiTa2Al
_chemical_formula_sum 'Li2 Ta4 Al2'
_cell_length_a 3.5079
_cell_length_b 4.3553
_cell_length_c 9.1657
_cell_angle_alpha 90.00
_cell_angle_beta 90.00
_cell_angle_gamma 90.00
_space_group_name_H-M_alt 'C m m 2'
_space_group_IT_number 35
loop_
_space_group_symop_operation_xyz
'x,y,z'
'-x,-y,z'
'-x,y,z'
'x,-y,z'
'x+1/2,y+1/2,z'
'-x+1/2,-y+1/2,z'
'-x+1/2,y+1/2,z'
'x+1/2,-y+1/2,z'
loop_
_atom_site_label
_atom_site_type_symbol
_atom_site_fract_x
_atom_site_fract_y
_atom_site_fract_z
_atom_site_occupancy
Li1 Li 0.0000 0.0000 0.0000 1
Ta1 Ta 0.0000 0.0000 0.4762 1
Ta2 Ta 0.0000 0.5000 0.7265 1
Al1 Al 0.0000 0.5000 0.2340 1


Question: What is the raw total energy in the first record?
Answer: -2.721 eV per atom